GGA-PBE Mn2PdPt8, optimized geometry; energy relative to the elements = -0.136 eV per atom; M_tot = 0.629 μB/atom; DFT total energy = -6.668 eV per atom
1.0
-1.991 3.699 5.890
1.991 -3.699 5.890
1.991 3.699 -5.890
Mn Pd Pt
2 1 8
Direct
0.181 0.181 0.000
0.819 0.819 0.000
0.500 0.500 0.000
0.071 0.339 0.732
0.205 0.000 0.205
0.341 0.841 0.500
0.392 0.661 0.732
0.608 0.339 0.268
0.659 0.159 0.500
0.795 0.000 0.795
0.929 0.661 0.268

---

GGA-PBE KBeC2O, optimized geometry; M_tot = 0.101 μB/atom; formation energy from raw total energies = 1.38 eV/atom; DFT total energy = -4.267 eV per atom
1.0
3.664 0.000 0.000
0.000 3.664 0.000
0.000 0.000 4.306
K Be C O
1 1 2 1
Direct
0.000 0.000 0.000
0.500 0.500 0.500
0.000 0.500 0.500
0.500 0.000 0.500
0.500 0.500 0.000

---

GGA-PBE Ce5PuIr, optimized geometry; energy relative to the elements = -0.103 eV per atom; M_tot = 0.000 μB/atom; DFT total energy = -7.655 eV per atom
1.0
4.902 -3.718 0.000
4.902 3.718 0.000
-4.379 0.000 9.684
Ce Pu Ir
10 2 2
Direct
0.039 0.961 0.750
0.115 0.386 0.115
0.199 0.591 0.452
0.386 0.115 0.615
0.409 0.801 0.048
0.591 0.199 0.952
0.614 0.885 0.385
0.801 0.409 0.548
0.885 0.614 0.885
0.961 0.039 0.250
0.000 0.000 0.000
0.000 0.000 0.500
0.426 0.574 0.750
0.574 0.426 0.250

---

GGA-PBE ZnHg2Ru, optimized geometry; energy relative to the elements = 0.462 eV per atom; M_tot = 0.349 μB/atom; DFT total energy = -2.326 eV per atom
1.0
2.985 0.000 0.000
0.000 2.985 0.000
0.000 0.000 8.239
Zn Hg Ru
1 2 1
Direct
0.000 0.000 0.000
0.500 0.500 0.257
0.500 0.500 0.743
0.000 0.000 0.500

---

GGA-PBE CaTlPdRh, optimized geometry; energy relative to the elements = -0.359 eV per atom; M_tot = 0.000 μB/atom; DFT total energy = -4.587 eV per atom
1.0
0.000 3.376 3.376
3.376 0.000 3.376
3.376 3.376 0.000
Ca Tl Pd Rh
1 1 1 1
Direct
0.000 0.000 0.000
0.500 0.500 0.500
0.250 0.250 0.250
0.750 0.750 0.750

---

GGA-PBE USiP, optimized geometry; M_tot = 0.525 μB/atom; formation energy from raw total energies = -0.46 eV/atom; DFT total energy = -7.833 eV per atom
1.0
4.027 0.000 0.000
-2.014 3.488 0.000
0.000 0.000 3.690
U Si P
1 1 1
Direct
0.000 0.000 0.000
0.667 0.333 0.500
0.333 0.667 0.500

---

GGA-PBE USn2Se4, optimized geometry; energy above the lowest structure with this stoichiometry = 66 meV per atom; M_tot = 0.285 μB/atom; formation energy from raw total energies = -0.66 eV/atom; DFT total energy = -5.410 eV per atom
1.0
1.987 -7.197 0.000
1.987 7.197 0.000
0.000 0.000 13.786
U Sn Se
2 4 8
Direct
0.117 0.883 0.750
0.883 0.117 0.250
0.370 0.630 0.566
0.370 0.630 0.934
0.630 0.370 0.066
0.630 0.370 0.434
0.000 0.000 0.000
0.000 0.000 0.500
0.289 0.711 0.128
0.289 0.711 0.372
0.478 0.522 0.750
0.522 0.478 0.250
0.711 0.289 0.628
0.711 0.289 0.872

---

GGA-PBE In2Pd3Pt2, optimized geometry; energy above the lowest structure with this stoichiometry = 0 meV per atom; energy relative to the elements = -0.400 eV per atom; M_tot = 0.000 μB/atom; DFT total energy = -5.134 eV per atom
1.0
4.497 -2.020 0.000
4.497 2.020 0.000
-1.082 0.000 6.462
In Pd Pt
2 3 2
Direct
0.078 0.078 0.229
0.922 0.922 0.771
0.214 0.214 0.649
0.500 0.500 0.500
0.786 0.786 0.351
0.361 0.361 0.073
0.639 0.639 0.927

---

GGA-PBE RbAs, optimized geometry; energy above the lowest structure with this stoichiometry = 218 meV per atom; energy relative to the elements = -0.215 eV per atom; M_tot = 0.095 μB/atom; DFT total energy = -3.024 eV per atom
1.0
3.778 0.000 0.000
0.000 21.496 0.000
0.000 0.000 5.768
Rb As
6 6
Direct
0.250 0.092 0.003
0.250 0.408 0.003
0.250 0.750 0.495
0.750 0.250 0.505
0.750 0.592 0.997
0.750 0.908 0.997
0.250 0.250 0.005
0.250 0.537 0.498
0.250 0.963 0.498
0.750 0.037 0.502
0.750 0.463 0.502
0.750 0.750 0.995

---

GGA-PBE CePm2ThP4, optimized geometry; energy relative to the elements = -1.566 eV per atom; M_tot = 0.082 μB/atom; DFT total energy = -7.128 eV per atom
1.0
7.142 0.000 0.000
0.000 4.132 0.000
-2.390 0.000 6.739
Ce Pm Th P
1 2 1 4
Direct
0.000 0.000 0.000
0.500 0.000 0.500
0.500 0.500 0.000
0.000 0.500 0.500
0.246 0.500 0.248
0.247 0.000 0.750
0.753 0.000 0.250
0.754 0.500 0.752

---

GGA-PBE Sr2LiMgRh, optimized geometry; energy above the lowest structure with this stoichiometry = 106 meV per atom; energy relative to the elements = 0.007 eV per atom; M_tot = 0.000 μB/atom; DFT total energy = -2.838 eV per atom
1.0
5.761 0.000 0.000
0.000 5.761 0.000
0.000 0.000 4.921
Sr Li Mg Rh
2 1 1 1
Direct
0.000 0.500 0.000
0.500 0.000 0.000
0.000 0.000 0.500
0.500 0.500 0.500
0.000 0.000 0.000

---

GGA-PBE LiIn2Hg2Pb, optimized geometry; energy relative to the elements = -0.048 eV per atom; M_tot = 0.000 μB/atom; DFT total energy = -1.999 eV per atom
1.0
2.320 1.339 8.557
-2.320 1.339 8.557
0.000 -2.679 8.557
Li In Hg Pb
1 2 2 1
Direct
0.000 0.000 0.000
0.240 0.240 0.240
0.760 0.760 0.760
0.369 0.369 0.369
0.631 0.631 0.631
0.500 0.500 0.500

---

GGA-PBE SrHfN2, optimized geometry; M_tot = 0.000 μB/atom; formation energy from raw total energies = -1.35 eV/atom; DFT total energy = -8.423 eV per atom
1.0
-2.881 2.881 4.328
2.881 -2.881 4.328
2.881 2.881 -4.328
Sr Hf N
2 2 4
Direct
0.000 0.000 0.000
0.750 0.250 0.500
0.250 0.750 0.500
0.500 0.500 0.000
0.199 0.625 0.074
0.375 0.449 0.574
0.551 0.125 0.926
0.875 0.801 0.426

---

GGA-PBE Mg5Tl2, optimized geometry; energy relative to the elements = -0.027 eV per atom; M_tot = 0.000 μB/atom; DFT total energy = -1.842 eV per atom
1.0
7.313 -2.750 0.000
7.313 2.750 0.000
-0.722 0.000 8.289
Mg Tl
10 4
Direct
0.032 0.679 0.036
0.120 0.452 0.684
0.187 0.813 0.750
0.321 0.968 0.464
0.452 0.120 0.184
0.548 0.880 0.816
0.679 0.032 0.536
0.813 0.187 0.250
0.880 0.548 0.316
0.968 0.321 0.964
0.232 0.611 0.394
0.389 0.768 0.106
0.611 0.232 0.894
0.768 0.389 0.606

---

GGA-PBE NaCuPdF6, optimized geometry; M_tot = 0.001 μB/atom; formation energy from raw total energies = -1.72 eV/atom; DFT total energy = -4.142 eV per atom
1.0
4.925 0.000 0.000
0.000 4.925 0.000
0.000 0.000 9.744
Na Cu Pd F
2 2 2 12
Direct
0.000 0.000 0.000
0.500 0.500 0.500
0.000 0.000 0.328
0.500 0.500 0.828
0.000 0.000 0.668
0.500 0.500 0.168
0.178 0.178 0.501
0.206 0.206 0.183
0.206 0.206 0.816
0.294 0.706 0.316
0.294 0.706 0.683
0.322 0.678 0.001
0.678 0.322 0.001
0.706 0.294 0.316
0.706 0.294 0.683
0.794 0.794 0.183
0.794 0.794 0.816
0.822 0.822 0.501

---

GGA-PBE LiCu2Ir, optimized geometry; energy above the lowest structure with this stoichiometry = 141 meV per atom; energy relative to the elements = 0.051 eV per atom; M_tot = 0.000 μB/atom; DFT total energy = -4.691 eV per atom
1.0
-1.938 1.938 3.395
1.938 -1.938 3.395
1.938 1.938 -3.395
Li Cu Ir
1 2 1
Direct
0.000 0.000 0.000
0.250 0.750 0.500
0.750 0.250 0.500
0.500 0.500 0.000

---

GGA-PBE SrCaBe2F8, optimized geometry; M_tot = 0.012 μB/atom; formation energy from raw total energies = -3.59 eV/atom; DFT total energy = -5.766 eV per atom
1.0
2.471 1.427 7.088
-2.471 1.427 7.088
0.000 -2.854 7.088
Sr Ca Be F
1 1 2 8
Direct
0.000 0.000 0.000
0.500 0.500 0.500
0.254 0.254 0.254
0.746 0.746 0.746
0.053 0.795 0.455
0.205 0.545 0.947
0.327 0.327 0.327
0.455 0.053 0.795
0.545 0.947 0.205
0.673 0.673 0.673
0.795 0.455 0.053
0.947 0.205 0.545

---

GGA-PBE DyTiBi2, optimized geometry; energy above the lowest structure with this stoichiometry = 0 meV per atom; energy relative to the elements = -0.248 eV per atom; M_tot = 0.346 μB/atom; DFT total energy = -5.313 eV per atom
1.0
3.609 0.000 0.000
0.000 3.609 0.000
0.000 0.000 7.880
Dy Ti Bi
1 1 2
Direct
0.000 0.000 0.000
0.000 0.000 0.500
0.500 0.500 0.278
0.500 0.500 0.722

---

GGA-PBE BeGe2P, optimized geometry; energy relative to the elements = 0.163 eV per atom; M_tot = 0.000 μB/atom; DFT total energy = -4.430 eV per atom
1.0
-2.708 2.708 5.276
2.708 -2.708 5.276
2.708 2.708 -5.276
Be Ge P
2 4 2
Direct
0.000 0.000 0.000
0.750 0.250 0.500
0.103 0.625 0.978
0.375 0.353 0.478
0.647 0.125 0.022
0.875 0.897 0.522
0.250 0.750 0.500
0.500 0.500 0.000

---

GGA-PBE CsRbHg, optimized geometry; energy above the lowest structure with this stoichiometry = 4 meV per atom; energy relative to the elements = -0.139 eV per atom; M_tot = 0.000 μB/atom; DFT total energy = -0.847 eV per atom
1.0
5.306 0.000 0.000
0.000 5.511 0.000
-0.056 0.000 13.724
Cs Rb Hg
2 2 2
Direct
0.001 0.250 0.146
0.999 0.750 0.854
0.497 0.250 0.636
0.503 0.750 0.364
0.500 0.250 0.933
0.500 0.750 0.067

---

GGA-PBE LaAlO2, optimized geometry; M_tot = 0.473 μB/atom; formation energy from raw total energies = -2.16 eV/atom; DFT total energy = -6.804 eV per atom
1.0
-2.581 2.581 4.712
2.581 -2.581 4.712
2.581 2.581 -4.712
La Al O
2 2 4
Direct
0.000 0.000 0.000
0.750 0.250 0.500
0.250 0.750 0.500
0.500 0.500 0.000
0.264 0.625 0.139
0.375 0.514 0.639
0.486 0.125 0.861
0.875 0.736 0.361

---

GGA-PBE Na6HfSb4, optimized geometry; M_tot = 0.000 μB/atom; formation energy from raw total energies = -0.36 eV/atom; DFT total energy = -3.482 eV per atom
1.0
10.857 0.000 0.000
-5.428 9.402 0.000
0.000 0.000 6.360
Na Hf Sb
12 2 8
Direct
0.010 0.505 0.000
0.144 0.288 0.256
0.144 0.856 0.256
0.288 0.144 0.756
0.495 0.505 0.000
0.495 0.990 0.000
0.505 0.010 0.500
0.505 0.495 0.500
0.712 0.856 0.256
0.856 0.144 0.756
0.856 0.712 0.756
0.990 0.495 0.500
0.333 0.667 0.694
0.667 0.333 0.194
0.186 0.371 0.753
0.186 0.814 0.753
0.333 0.667 0.237
0.371 0.186 0.253
0.629 0.814 0.753
0.667 0.333 0.737
0.814 0.186 0.253
0.814 0.629 0.253

---

GGA-PBE CsYCuSi2, optimized geometry; M_tot = 0.000 μB/atom; formation energy from raw total energies = 0.51 eV/atom; DFT total energy = -3.947 eV per atom
1.0
4.795 0.000 0.000
0.000 4.795 0.000
0.000 0.000 5.381
Cs Y Cu Si
1 1 1 2
Direct
0.000 0.000 0.000
0.500 0.500 0.000
0.500 0.500 0.500
0.000 0.500 0.500
0.500 0.000 0.500

---

GGA-PBE InCoBr4, optimized geometry; M_tot = 0.642 μB/atom; formation energy from raw total energies = 0.76 eV/atom; DFT total energy = -1.993 eV per atom
1.0
0.000 4.541 4.541
4.541 0.000 4.541
4.541 4.541 0.000
In Co Br
1 1 4
Direct
0.000 0.000 0.000
0.250 0.250 0.250
0.128 0.624 0.624
0.624 0.128 0.624
0.624 0.624 0.128
0.624 0.624 0.624